Model 1:
KLa2Te2 | GGA-PBE | relaxed

abc: 9.2370 9.2370 4.0211
angles: 90.00 90.00 90.00
Last column: nearest neighbours and their distance in Å.
Atoms (fractional coordinates):
K  0.0000  0.0000  0.0000  4 La 3.57
K  0.5000  0.5000  0.0000  4 La 3.57
Te  0.6540  0.8460  0.5000  6 La 3.37
Te  0.8460  0.3460  0.5000  6 La 3.37
Te  0.1540  0.6540  0.5000  6 La 3.37
Te  0.3460  0.1540  0.5000  6 La 3.37
La  0.3611  0.8611  0.0000  6 Te 3.37, 2 K 3.57, 1 La 3.63
La  0.8611  0.6389  0.0000  6 Te 3.37, 2 K 3.57, 1 La 3.63
La  0.6389  0.1389  0.0000  6 Te 3.37, 2 K 3.57, 1 La 3.63
La  0.1389  0.3611  0.0000  6 Te 3.37, 2 K 3.57, 1 La 3.63

* V: 34.3 Å³ per atom
* M_tot: 0.04 μB per atom
* N(E_F): 10.67 states/eV/cell
* calculated density: 5.5 g/cm³

=====

Model 2:
KLa2Te2 | GGA-PBE | relaxed

abc: 5.0343 5.0343 8.9232
angles: 73.62 73.62 90.00
Last column: nearest neighbours and their distance in Å.
Atoms (fractional coordinates):
La  0.2500  0.7500  0.5000  4 Te 3.28, 4 La 3.56
La  0.7500  0.2500  0.5000  4 Te 3.28, 4 La 3.56
Te  0.3782  0.3782  0.2436  4 La 3.28
Te  0.6218  0.6218  0.7564  4 La 3.28
K  0.0000  0.0000  0.0000  8 Te 4.08

* V: 41.5 Å³ per atom
* M_tot: 0.54 μB per atom
* N(E_F): 3.59 states/eV/cell
* calculated density: 4.6 g/cm³

=====

Result of the stability comparison: model 2 is the most stable of them.

=====

Model 1:
KLa2Ti | GGA-PBE | relaxed

abc: 8.5322 8.5322 7.3489
angles: 54.51 54.51 90.00
Last column: nearest neighbours and their distance in Å.
Atoms (fractional coordinates):
La  0.3750  0.2492  0.7500  2 Ti 2.60
La  0.7508  0.1250  0.2500  2 Ti 2.60
La  0.8750  0.0008  0.7500  2 Ti 2.60
La  0.9992  0.6250  0.2500  2 Ti 2.60
K  0.2500  0.7500  0.5000  8 La 3.95-3.99, 2 Ti 4.20
K  0.5000  0.5000  0.0000  8 La 3.95-3.99, 2 Ti 4.20
Ti  0.0000  0.0000  0.0000  4 La 2.60
Ti  0.7500  0.2500  0.5000  4 La 2.60

* V: 38.2 Å³ per atom
* M_tot: 0.00 μB per atom
* N(E_F): 7.11 states/eV/cell
* calculated density: 4.0 g/cm³

=====

Model 2:
KLa2Ti | GGA-PBE | relaxed

abc: 5.7509 5.7509 5.7509
angles: 60.00 60.00 60.00
Last column: nearest neighbours and their distance in Å.
Atoms (fractional coordinates):
La  0.2500  0.2500  0.2500  4 K 3.52, 4 Ti 3.52
La  0.7500  0.7500  0.7500  4 K 3.52, 4 Ti 3.52
Ti  0.5000  0.5000  0.5000  8 La 3.52
K  0.0000  0.0000  0.0000  8 La 3.52

* V: 33.6 Å³ per atom
* M_tot: 0.78 μB per atom
* N(E_F): 5.96 states/eV/cell
* calculated density: 4.5 g/cm³

=====

Result of the stability comparison: model 2 is the most stable of them.

=====

Model 1:
KLa2Tl2 | GGA-PBE | relaxed

abc: 9.8885 9.8885 3.5351
angles: 90.00 90.00 90.00
Last column: nearest neighbours and their distance in Å.
Atoms (fractional coordinates):
Tl  0.6755  0.8245  0.5000  6 La 3.35-3.47, 2 Tl 3.54
Tl  0.8245  0.3245  0.5000  6 La 3.35-3.47, 2 Tl 3.54
Tl  0.3245  0.1755  0.5000  6 La 3.35-3.47, 2 Tl 3.54
Tl  0.1755  0.6755  0.5000  6 La 3.35-3.47, 2 Tl 3.54
La  0.8788  0.6212  0.0000  6 Tl 3.35-3.47, 3 La 3.39-3.54
La  0.1212  0.3788  0.0000  6 Tl 3.35-3.47, 3 La 3.39-3.54
La  0.6212  0.1212  0.0000  6 Tl 3.35-3.47, 3 La 3.39-3.54
La  0.3788  0.8788  0.0000  6 Tl 3.35-3.47, 3 La 3.39-3.54
K  0.0000  0.0000  0.0000  2 K 3.54, 4 La 3.93
K  0.5000  0.5000  0.0000  2 K 3.54, 4 La 3.93

* V: 34.6 Å³ per atom
* M_tot: 0.06 μB per atom
* N(E_F): 6.59 states/eV/cell
* calculated density: 7.0 g/cm³

=====

Model 2:
KLa2Tl2 | GGA-PBE | relaxed

abc: 5.0952 5.0952 8.2279
angles: 71.96 71.96 90.00
Last column: nearest neighbours and their distance in Å.
Atoms (fractional coordinates):
Tl  0.3996  0.3996  0.2007  1 Tl 2.97
Tl  0.6004  0.6004  0.7993  1 Tl 2.97
K  0.0000  0.0000  0.0000  8 Tl 3.90
La  0.7500  0.2500  0.5000  4 Tl 3.38, 4 La 3.60
La  0.2500  0.7500  0.5000  4 Tl 3.38, 4 La 3.60

* V: 38.4 Å³ per atom
* M_tot: 0.00 μB per atom
* N(E_F): 8.65 states/eV/cell
* calculated density: 6.3 g/cm³

=====

Result of the stability comparison: model 1 is the most stable of them.

=====

Model 1:
KLa3V | GGA-PBE | relaxed

abc: 5.6103 5.6103 5.6103
angles: 90.00 90.00 90.00
Last column: nearest neighbours and their distance in Å.
Atoms (fractional coordinates):
K  0.0000  0.0000  0.0000  6 La 2.81
V  0.5000  0.5000  0.5000  12 La 3.97
La  0.0000  0.5000  0.0000  2 K 2.81
La  0.0000  0.0000  0.5000  2 K 2.81
La  0.5000  0.0000  0.0000  2 K 2.81

* V: 35.3 Å³ per atom
* M_tot: 0.76 μB per atom
* N(E_F): 8.70 states/eV/cell
* calculated density: 4.8 g/cm³

=====

Model 2:
KLa3V | GGA-PBE | relaxed

abc: 5.6957 5.6957 5.6957
angles: 90.00 90.00 90.00
Last column: nearest neighbours and their distance in Å.
Atoms (fractional coordinates):
V  0.0000  0.0000  0.0000  6 La 2.85
La  0.0000  0.5000  0.0000  2 V 2.85
La  0.5000  0.0000  0.0000  2 V 2.85
La  0.0000  0.0000  0.5000  2 V 2.85
K  0.5000  0.5000  0.5000  12 La 4.03

* V: 37.0 Å³ per atom
* M_tot: 0.14 μB per atom
* N(E_F): 6.78 states/eV/cell
* calculated density: 4.6 g/cm³

=====

Result of the stability comparison: model 2 is the most stable of them.

=====

Model 1:
KLa2W | GGA-PBE | relaxed

abc: 12.3178 12.3178 12.3178
angles: 17.29 17.29 17.29
Last column: nearest neighbours and their distance in Å.
Atoms (fractional coordinates):
W  0.2500  0.2500  0.2500  6 La 3.00
La  0.5256  0.5256  0.5256  3 W 3.00
La  0.9744  0.9744  0.9744  3 W 3.00
K  0.7500  0.7500  0.7500  6 K 3.70

* V: 36.0 Å³ per atom
* M_tot: 0.00 μB per atom
* N(E_F): 3.97 states/eV/cell
* calculated density: 5.8 g/cm³

=====

Model 2:
KLa2W | GGA-PBE | relaxed

abc: 12.1459 12.1459 12.1459
angles: 16.54 16.54 16.54
Last column: nearest neighbours and their distance in Å.
Atoms (fractional coordinates):
La  0.2367  0.2367  0.2367  3 W 2.93
La  0.9889  0.9889  0.9889  9 La 3.50-3.68
K  0.7634  0.7634  0.7634  6 K 3.50, 3 W 3.54
W  0.5110  0.5110  0.5110  3 La 2.93

* V: 31.7 Å³ per atom
* M_tot: 0.28 μB per atom
* N(E_F): 2.99 states/eV/cell
* calculated density: 6.6 g/cm³

=====

Result of the stability comparison: model 1 is the most stable of them.

=====

Model 1:
KLa2W | GGA-PBE | relaxed

abc: 4.5478 4.5478 10.5730
angles: 86.57 86.57 42.84
Last column: nearest neighbours and their distance in Å.
Atoms (fractional coordinates):
K  0.2500  0.2500  0.2500  2 K 3.32
La  0.0166  0.0166  0.9121  3 W 2.92-3.03
La  0.4834  0.4834  0.5879  3 W 2.92-3.03
W  0.7500  0.7500  0.7500  6 La 2.92-3.03

* V: 37.1 Å³ per atom
* M_tot: 0.00 μB per atom
* N(E_F): 5.72 states/eV/cell
* calculated density: 5.6 g/cm³

=====

Model 2:
KLa2W | GGA-PBE | relaxed

abc: 5.3964 5.3964 5.3964
angles: 60.00 60.00 60.00
Last column: nearest neighbours and their distance in Å.
Atoms (fractional coordinates):
La  0.2500  0.2500  0.2500  4 W 3.30, 4 K 3.30
La  0.7500  0.7500  0.7500  4 K 3.30, 4 W 3.30
W  0.5000  0.5000  0.5000  8 La 3.30
K  0.0000  0.0000  0.0000  8 La 3.30

* V: 27.8 Å³ per atom
* M_tot: 0.00 μB per atom
* N(E_F): 5.49 states/eV/cell
* calculated density: 7.5 g/cm³

=====

Result of the stability comparison: model 1 is the most stable of them.